(1)
# KMg2Bi2 (PBE, relaxed)
data_KMg2Bi2
_symmetry_space_group_name_H-M 'P 1'
_symmetry_Int_Tables_number 1
_cell_length_a 4.861
_cell_length_b 4.861
_cell_length_c 14.032
_cell_angle_alpha 90.00
_cell_angle_beta 90.00
_cell_angle_gamma 90.00
loop_
_symmetry_equiv_pos_as_xyz
'x,y,z'
loop_
_atom_site_label
_atom_site_type_symbol
_atom_site_fract_x
_atom_site_fract_y
_atom_site_fract_z
K1 K 0.000 0.000 0.000
K2 K 0.500 0.500 0.500
Mg1 Mg 0.000 0.500 0.250
Mg2 Mg 0.000 0.500 0.750
Mg3 Mg 0.500 0.000 0.250
Mg4 Mg 0.500 0.000 0.750
Bi1 Bi 0.000 0.000 0.376
Bi2 Bi 0.000 0.000 0.624
Bi3 Bi 0.500 0.500 0.124
Bi4 Bi 0.500 0.500 0.876
# - E_form (eV per formula unit) = -1.70
# - space-group type = I4/mmm, No. 139

(2)
# ScSnW (PBE, relaxed)
data_ScSnW
_symmetry_space_group_name_H-M 'P 1'
_symmetry_Int_Tables_number 1
_cell_length_a 10.000
_cell_length_b 3.416
_cell_length_c 7.638
_cell_angle_alpha 90.00
_cell_angle_beta 111.55
_cell_angle_gamma 90.00
loop_
_symmetry_equiv_pos_as_xyz
'x,y,z'
loop_
_atom_site_label
_atom_site_type_symbol
_atom_site_fract_x
_atom_site_fract_y
_atom_site_fract_z
Sc1 Sc 0.167 0.000 0.321
Sc2 Sc 0.333 0.500 0.679
Sc3 Sc 0.667 0.500 0.321
Sc4 Sc 0.833 0.000 0.679
Sn1 Sn 0.000 0.500 0.000
Sn2 Sn 0.000 0.500 0.500
Sn3 Sn 0.500 0.000 0.000
Sn4 Sn 0.500 0.000 0.500
W1 W 0.185 0.000 0.871
W2 W 0.315 0.500 0.129
W3 W 0.685 0.500 0.871
W4 W 0.815 0.000 0.129
# - E_form (eV per formula unit) = -0.07
# - space-group type = C2/m, No. 12

(3)
# NaV2Br8 (PBE, relaxed)
data_NaV2Br8
_symmetry_space_group_name_H-M 'P 1'
_symmetry_Int_Tables_number 1
_cell_length_a 8.466
_cell_length_b 8.466
_cell_length_c 6.820
_cell_angle_alpha 96.24
_cell_angle_beta 96.24
_cell_angle_gamma 74.66
loop_
_symmetry_equiv_pos_as_xyz
'x,y,z'
loop_
_atom_site_label
_atom_site_type_symbol
_atom_site_fract_x
_atom_site_fract_y
_atom_site_fract_z
Na1 Na 0.000 0.000 0.000
V1 V 0.197 0.197 0.660
V2 V 0.803 0.803 0.340
Br1 Br 0.070 0.704 0.237
Br2 Br 0.189 0.189 0.314
Br3 Br 0.296 0.930 0.763
Br4 Br 0.363 0.363 0.806
Br5 Br 0.637 0.637 0.194
Br6 Br 0.704 0.070 0.237
Br7 Br 0.811 0.811 0.686
Br8 Br 0.930 0.296 0.763
# - space-group type = C2/m, No. 12

(4)
# Re6Tc2Mo (PBE, relaxed)
data_Re6Tc2Mo
_symmetry_space_group_name_H-M 'P 1'
_symmetry_Int_Tables_number 1
_cell_length_a 5.531
_cell_length_b 5.531
_cell_length_c 11.592
_cell_angle_alpha 90.00
_cell_angle_beta 90.00
_cell_angle_gamma 90.00
loop_
_symmetry_equiv_pos_as_xyz
'x,y,z'
loop_
_atom_site_label
_atom_site_type_symbol
_atom_site_fract_x
_atom_site_fract_y
_atom_site_fract_z
Re1 Re 0.191 0.191 0.000
Re2 Re 0.196 0.804 0.120
Re3 Re 0.196 0.804 0.880
Re4 Re 0.304 0.304 0.380
Re5 Re 0.304 0.304 0.620
Re6 Re 0.309 0.691 0.500
Re7 Re 0.691 0.309 0.500
Re8 Re 0.696 0.696 0.380
Re9 Re 0.696 0.696 0.620
Re10 Re 0.804 0.196 0.120
Re11 Re 0.804 0.196 0.880
Re12 Re 0.809 0.809 0.000
Tc1 Tc 0.000 0.000 0.282
Tc2 Tc 0.000 0.000 0.718
Tc3 Tc 0.500 0.500 0.218
Tc4 Tc 0.500 0.500 0.782
Mo1 Mo 0.000 0.000 0.500
Mo2 Mo 0.500 0.500 0.000
# - E_form (eV per formula unit) = 12.70
# - space-group type = P4_2/mnm, No. 136

(5)
# Ca2EuPd (PBE, relaxed)
data_Ca2EuPd
_symmetry_space_group_name_H-M 'P 1'
_symmetry_Int_Tables_number 1
_cell_length_a 3.655
_cell_length_b 3.655
_cell_length_c 9.521
_cell_angle_alpha 90.00
_cell_angle_beta 90.00
_cell_angle_gamma 90.00
loop_
_symmetry_equiv_pos_as_xyz
'x,y,z'
loop_
_atom_site_label
_atom_site_type_symbol
_atom_site_fract_x
_atom_site_fract_y
_atom_site_fract_z
Ca1 Ca 0.000 0.000 0.176
Ca2 Ca 0.000 0.000 0.824
Eu1 Eu 0.500 0.500 0.500
Pd1 Pd 0.500 0.500 0.000
# - E_form (eV per formula unit) = -1.39
# - space-group type = P4/mmm, No. 123

(6)
# Li3Pm2YS6 (PBE, relaxed)
data_Li3Pm2YS6
_symmetry_space_group_name_H-M 'P 1'
_symmetry_Int_Tables_number 1
_cell_length_a 6.917
_cell_length_b 6.917
_cell_length_c 6.609
_cell_angle_alpha 99.97
_cell_angle_beta 99.97
_cell_angle_gamma 120.04
loop_
_symmetry_equiv_pos_as_xyz
'x,y,z'
loop_
_atom_site_label
_atom_site_type_symbol
_atom_site_fract_x
_atom_site_fract_y
_atom_site_fract_z
Li1 Li 0.000 0.000 0.000
Li2 Li 0.339 0.661 0.000
Li3 Li 0.661 0.339 0.000
Pm1 Pm 0.167 0.833 0.500
Pm2 Pm 0.833 0.167 0.500
Y1 Y 0.500 0.500 0.500
S1 S 0.089 0.416 0.246
S2 S 0.257 0.257 0.753
S3 S 0.416 0.089 0.246
S4 S 0.584 0.911 0.754
S5 S 0.743 0.743 0.247
S6 S 0.911 0.584 0.754
# - space-group type = C2/m, No. 12

(7)
# LaSm2Mg2 (PBE, relaxed)
data_LaSm2Mg2
_symmetry_space_group_name_H-M 'P 1'
_symmetry_Int_Tables_number 1
_cell_length_a 3.860
_cell_length_b 5.600
_cell_length_c 14.331
_cell_angle_alpha 90.00
_cell_angle_beta 97.78
_cell_angle_gamma 90.00
loop_
_symmetry_equiv_pos_as_xyz
'x,y,z'
loop_
_atom_site_label
_atom_site_type_symbol
_atom_site_fract_x
_atom_site_fract_y
_atom_site_fract_z
La1 La 0.150 0.250 0.298
La2 La 0.850 0.750 0.702
Sm1 Sm 0.046 0.750 0.092
Sm2 Sm 0.237 0.750 0.474
Sm3 Sm 0.763 0.250 0.526
Sm4 Sm 0.954 0.250 0.908
Mg1 Mg 0.359 0.250 0.718
Mg2 Mg 0.450 0.750 0.900
Mg3 Mg 0.550 0.250 0.100
Mg4 Mg 0.641 0.750 0.282
# - E_form (eV per formula unit) = -0.39
# - space-group type = P2_1/m, No. 11

(8)
# GaAu (PBE, relaxed)
data_GaAu
_symmetry_space_group_name_H-M 'P 1'
_symmetry_Int_Tables_number 1
_cell_length_a 6.237
_cell_length_b 6.863
_cell_length_c 7.091
_cell_angle_alpha 90.00
_cell_angle_beta 90.00
_cell_angle_gamma 90.00
loop_
_symmetry_equiv_pos_as_xyz
'x,y,z'
loop_
_atom_site_label
_atom_site_type_symbol
_atom_site_fract_x
_atom_site_fract_y
_atom_site_fract_z
Ga1 Ga 0.004 0.149 0.172
Ga2 Ga 0.069 0.455 0.872
Ga3 Ga 0.431 0.545 0.372
Ga4 Ga 0.496 0.851 0.672
Ga5 Ga 0.504 0.351 0.828
Ga6 Ga 0.569 0.045 0.128
Ga7 Ga 0.931 0.955 0.628
Ga8 Ga 0.996 0.649 0.328
Au1 Au 0.126 0.315 0.509
Au2 Au 0.235 0.069 0.874
Au3 Au 0.265 0.931 0.374
Au4 Au 0.374 0.685 0.009
Au5 Au 0.626 0.185 0.491
Au6 Au 0.735 0.431 0.126
Au7 Au 0.765 0.569 0.626
Au8 Au 0.874 0.815 0.991
# - E_form (eV per formula unit) = -0.33
# - space-group type = P2_12_12_1, No. 19

| no. | volume (A^3/atom) | VASP energy (eV per atom) |
| --- | --- | --- |
| 1 | 33.15 | -2.750 |
| 2 | 20.22 | -7.787 |
| 3 | 42.46 | -3.915 |
| 4 | 19.70 | -10.395 |
| 5 | 31.80 | -5.215 |
| 6 | 21.40 | -5.686 |
| 7 | 30.70 | -3.588 |
| 8 | 18.97 | -3.319 |